Entry from Alexandria via LeMat-Bulk: CaCd12Hg4 after structural relaxation (PBE-GGA).

Cell and atoms, written as POSCAR:
```
CaCd12Hg4
1.0
-4.964 4.964 4.964
4.964 -4.964 4.964
4.964 4.964 -4.964
Ca Cd Hg
1 12 4
direct
0.000 0.000 0.000
0.147 0.500 0.353
0.147 0.794 0.647
0.206 0.353 0.853
0.353 0.147 0.500
0.353 0.853 0.206
0.500 0.353 0.147
0.500 0.647 0.853
0.647 0.147 0.794
0.647 0.853 0.500
0.794 0.647 0.147
0.853 0.206 0.353
0.853 0.500 0.647
0.000 0.000 0.500
0.000 0.500 0.000
0.500 0.000 0.000
0.500 0.500 0.500
```

* density of states at the Fermi level: 4.872 states/eV/cell
* DFT total energy: -0.0277 Ha/atom
* spin magnetization: 0.00 μB per formula unit
* symmetry: Im-3 (204)